This record from Alexandria describes crystalline CdMoPd6 at its relaxed geometry. The functional is PBE-GGA.

Raw total energy: -5.56 eV/atom
DFT formation energy: -0.19 eV/atom

The structure in CIF format:
```
data_CdMoPd6
_chemical_formula_sum 'Cd1 Mo1 Pd6'
_symmetry_space_group_name_H-M 'P 4/m m m'
_symmetry_Int_Tables_number 123
_symmetry_space_group_name_Hall '-P 4 2'
_cell_length_a 3.9718
_cell_length_b 3.9718
_cell_length_c 8.0036
_cell_angle_alpha 90.00
_cell_angle_beta 90.00
_cell_angle_gamma 90.00
loop_
_atom_site_label
_atom_site_fract_x
_atom_site_fract_y
_atom_site_fract_z
Cd1 0.0000 0.0000 0.0000
Mo1 0.0000 0.0000 0.5000
Pd1 0.0000 0.5000 0.2638
Pd2 0.5000 0.5000 0.0000
Pd3 0.5000 0.5000 0.5000
```


This record from Alexandria describes crystalline Cd2MoPd at its relaxed geometry. The functional is PBE-GGA.

Raw total energy: -3.78 eV/atom
DFT formation energy: 0.68 eV/atom

The structure in CIF format:
```
data_Cd2MoPd
_chemical_formula_sum 'Cd8 Mo4 Pd4'
_symmetry_space_group_name_H-M 'I -4 2 d'
_symmetry_Int_Tables_number 122
_symmetry_space_group_name_Hall 'I -4 2bw'
_cell_length_a 7.5246
_cell_length_b 7.5246
_cell_length_c 5.5283
_cell_angle_alpha 90.00
_cell_angle_beta 90.00
_cell_angle_gamma 90.00
loop_
_atom_site_label
_atom_site_fract_x
_atom_site_fract_y
_atom_site_fract_z
Cd1 0.2376 0.2500 0.1250
Mo1 0.0000 0.0000 0.5000
Pd1 0.0000 0.0000 0.0000
```


| no. | V (Å³ per cell) |
| --- | --- |
| 1 | 126 |
| 2 | 313 |